Here is a relaxed structure of SrMn3Cl from Alexandria. Energies are from PBE-GGA.

Symmetry   No. 221

Structure (POSCAR):
```
SrMn3Cl
1.0
-4.361 0.592 -1.635
0.434 -3.904 -2.571
-1.684 -2.539 3.572
Mn Sr Cl
3 1 1
Direct
0.000 0.500 0.000 Mn
0.500 0.000 0.000 Mn
0.000 0.000 0.500 Mn
0.500 0.500 0.500 Sr
0.000 0.000 0.000 Cl
```



Here is a relaxed structure of SrMnCl2 from Alexandria. Energies are from PBE-GGA.

Symmetry   No. 166

Structure (POSCAR):
```
SrMnCl2
1.0
-8.529 2.037 -6.569
-5.893 0.084 -9.236
-8.394 -2.188 -6.693
Cl Sr Mn
2 1 1
Direct
0.464 0.464 0.464 Cl
0.036 0.036 0.036 Cl
0.750 0.750 0.750 Sr
0.250 0.250 0.250 Mn
```



Here is a relaxed structure of SrMnCl6 from Alexandria. Energies are from PBE-GGA.

Symmetry   No. 12

Structure (POSCAR):
```
SrMnCl6
1.0
7.722 0.193 1.934
3.503 4.726 3.283
0.580 -0.196 6.574
Cl Mn Sr
6 1 1
Direct
0.229 0.801 0.289 Cl
0.229 0.090 0.711 Cl
0.771 0.910 0.289 Cl
0.771 0.199 0.711 Cl
0.819 0.432 0.000 Cl
0.181 0.568 0.000 Cl
0.000 0.000 0.000 Mn
0.500 0.000 0.000 Sr
```



Here is a relaxed structure of SrMn2Cl from Alexandria. Energies are from PBE-GGA.

Symmetry   No. 6

Structure (POSCAR):
```
SrMn2Cl
1.0
3.664 0.000 0.000
0.000 3.708 -0.071
0.000 2.053 8.158
Mn Cl Sr
2 1 1
Direct
0.500 0.209 0.210 Mn
0.000 0.762 0.107 Mn
0.500 0.970 0.677 Cl
0.000 0.558 0.505 Sr
```



Here is a relaxed structure of SrMnCl5 from Alexandria. Energies are from PBE-GGA.

Symmetry   No. 15

Structure (POSCAR):
```
SrMnCl5
1.0
6.824 0.161 0.031
2.318 6.421 0.031
3.347 2.410 9.023
Cl Mn Sr
10 2 2
Direct
0.704 0.872 0.617 Cl
0.296 0.128 0.383 Cl
0.232 0.640 0.497 Cl
0.069 0.931 0.750 Cl
0.872 0.704 0.117 Cl
0.360 0.768 0.003 Cl
0.931 0.069 0.250 Cl
0.128 0.296 0.883 Cl
0.640 0.232 0.997 Cl
0.768 0.360 0.503 Cl
0.000 0.000 0.500 Mn
0.000 0.000 0.000 Mn
0.450 0.550 0.750 Sr
0.550 0.450 0.250 Sr
```



Here is a relaxed structure of SrMnCl4 from Alexandria. Energies are from PBE-GGA.

Symmetry   No. 141

Structure (POSCAR):
```
SrMnCl4
1.0
-5.133 3.359 4.886
1.901 -7.418 1.693
3.389 0.116 7.071
Sr Cl Mn
2 8 2
Direct
0.875 0.625 0.250 Sr
0.125 0.375 0.750 Sr
0.622 0.686 0.564 Cl
0.186 0.122 0.064 Cl
0.379 0.314 0.436 Cl
0.814 0.878 0.936 Cl
0.750 0.314 0.064 Cl
0.814 0.250 0.564 Cl
0.186 0.750 0.436 Cl
0.250 0.686 0.936 Cl
0.375 0.125 0.250 Mn
0.625 0.875 0.750 Mn
```



| no. | formation energy from raw total energies (eV per atom) | V (Å³/f.u.) | magnetic moment (μB/f.u.) |
| --- | --- | --- | --- |
| 1 | 0.65 | 103.50 | 9.97 |
| 2 | -0.98 | 165.43 | 5.00 |
| 3 | -1.38 | 234.12 | 3.05 |
| 4 | -0.06 | 111.37 | 8.32 |
| 5 | -1.55 | 195.51 | 4.00 |
| 6 | -1.77 | 184.13 | 5.00 |